Entry 1:
Compound: HgW2Au
Source: the Alexandria database
Functional: GGA-PBE
Structure: relaxed

Unit cell a=5.5086 b=5.5086 c=5.5086 alpha=146.05 beta=128.09 gamma=63.48
With the nearest neighbours (Å) after each atom.
Fractional coordinates of all 4 atoms:
Au 0.5099 0.5099 0.0000  6 W 2.91-2.92, 2 Hg 2.94, 2 Au 3.22
Hg 0.2466 0.7466 0.5000  8 W 2.91-3.22, 2 Au 2.94, 2 Hg 3.22
W 0.9745 0.9745 0.0000  2 W 2.51
W 0.7689 0.2689 0.5000  2 W 2.51

Properties
Mass density: 17.49 g/cm³
Final energy: -6.74 eV per atom
Crystal system: orthorhombic
DOS at the Fermi energy: 0.473 states/eV per atom

Entry 2:
Compound: CaEr2ScTl4
Source: the Alexandria database
Functional: GGA-PBE
Structure: relaxed

Unit cell a=5.3129 b=5.3129 c=9.2087 alpha=73.23 beta=73.23 gamma=60.00
With the nearest neighbours (Å) after each atom.
Fractional coordinates of all 8 atoms:
Ca 0.0000 0.0000 0.0000  8 Tl 3.29-3.32
Er 0.7494 0.7494 0.7518  8 Tl 3.20-3.33
Er 0.2506 0.2506 0.2482  8 Tl 3.20-3.33
Sc 0.5000 0.5000 0.5000  8 Tl 3.17-3.23
Tl 0.3785 0.3785 0.8646  1 Sc 3.17, 4 Er 3.22-3.33, 3 Ca 3.29
Tl 0.8724 0.8724 0.3827  4 Er 3.20-3.28, 3 Sc 3.23, 1 Ca 3.32
Tl 0.1276 0.1276 0.6173  4 Er 3.20-3.28, 3 Sc 3.23, 1 Ca 3.32
Tl 0.6215 0.6215 0.1354  1 Sc 3.17, 4 Er 3.22-3.33, 3 Ca 3.29

Properties
Mass density: 9.68 g/cm³
Final energy: -3.67 eV per atom
Crystal system: trigonal
DOS at the Fermi energy: 0.674 states/eV per atom

Entry 3:
Compound: Rb2SrSc
Source: the Alexandria database
Functional: GGA-PBE
Structure: relaxed

Unit cell a=11.0763 b=11.0763 c=8.7040 alpha=50.49 beta=50.49 gamma=90.00
With the nearest neighbours (Å) after each atom.
Fractional coordinates of all 8 atoms:
Sc 0.5000 0.5000 0.0000  2 Sr 3.80, 4 Rb 3.85
Sc 0.2500 0.7500 0.5000  2 Sr 3.80, 4 Rb 3.85
Sr 0.0000 0.0000 0.0000  2 Sc 3.80, 4 Rb 4.22
Sr 0.7500 0.2500 0.5000  2 Sc 3.80, 4 Rb 4.22
Rb 0.6010 0.1250 0.2500  2 Rb 3.83, 2 Sc 3.85, 2 Sr 4.22
Rb 0.1490 0.6250 0.2500  2 Rb 3.83, 2 Sc 3.85, 2 Sr 4.22
Rb 0.3750 0.3990 0.7500  2 Rb 3.83, 2 Sc 3.85, 2 Sr 4.22
Rb 0.8750 0.8510 0.7500  2 Rb 3.83, 2 Sc 3.85, 2 Sr 4.22

Properties
Mass density: 2.16 g/cm³
Energy relative to the lowest polymorph listed for this composition: 83 meV per atom
Crystal system: tetragonal
DOS at the Fermi energy: 1.659 states/eV per atom

Entry 4:
Compound: TiSn3O
Source: the Alexandria database
Functional: GGA-PBE
Structure: relaxed

Unit cell a=4.6809 b=4.6809 c=4.6809 alpha=90.00 beta=90.00 gamma=90.00
With the nearest neighbours (Å) after each atom.
Fractional coordinates of all 5 atoms:
Sn 0.0000 0.5000 0.0000  2 O 2.34
Sn 0.0000 0.0000 0.5000  2 O 2.34
Sn 0.5000 0.0000 0.0000  2 O 2.34
O 0.0000 0.0000 0.0000  6 Sn 2.34
Ti 0.5000 0.5000 0.5000  12 Sn 3.31

Properties
Mass density: 6.80 g/cm³
Energy relative to the lowest polymorph listed for this composition: 0 meV per atom
Crystal system: cubic
Formation energy without anion corrections: -0.158 eV/atom
DOS at the Fermi energy: 0.661 states/eV per atom

Entry 5:
Compound: GaRu3I
Source: the Alexandria database
Functional: GGA-PBE
Structure: relaxed

Unit cell a=4.8936 b=4.8936 c=4.8936 alpha=90.00 beta=90.00 gamma=90.00
With the nearest neighbours (Å) after each atom.
Fractional coordinates of all 5 atoms:
I 0.0000 0.0000 0.0000  6 Ru 2.45
Ru 0.0000 0.5000 0.0000  2 I 2.45
Ru 0.0000 0.0000 0.5000  2 I 2.45
Ru 0.5000 0.0000 0.0000  2 I 2.45
Ga 0.5000 0.5000 0.5000  12 Ru 3.46

Properties
Mass density: 7.08 g/cm³
Energy relative to the lowest polymorph listed for this composition: 342 meV per atom
Crystal system: cubic
Formation energy without anion corrections: 1.760 eV/atom
DOS at the Fermi energy: 1.450 states/eV per atom

Entry 6:
Compound: LaNb2Ga2
Source: the Alexandria database
Functional: GGA-PBE
Structure: relaxed

Unit cell a=7.6625 b=7.6625 c=3.4118 alpha=90.00 beta=90.00 gamma=90.00
With the nearest neighbours (Å) after each atom.
Fractional coordinates of all 10 atoms:
Nb 0.1726 0.6726 0.5000  6 Ga 2.83-2.84
Nb 0.6726 0.8274 0.5000  6 Ga 2.83-2.84
Nb 0.8274 0.3274 0.5000  6 Ga 2.83-2.84
Nb 0.3274 0.1726 0.5000  6 Ga 2.83-2.84
Ga 0.3813 0.8813 0.0000  1 Ga 2.57, 6 Nb 2.83-2.84
Ga 0.8813 0.6187 0.0000  1 Ga 2.57, 6 Nb 2.83-2.84
Ga 0.6187 0.1187 0.0000  1 Ga 2.57, 6 Nb 2.83-2.84
Ga 0.1187 0.3813 0.0000  1 Ga 2.57, 6 Nb 2.83-2.84
La 0.0000 0.0000 0.0000  4 Ga 3.06, 8 Nb 3.31, 2 La 3.41
La 0.5000 0.5000 0.0000  4 Ga 3.06, 8 Nb 3.31, 2 La 3.41

Properties
Mass density: 7.70 g/cm³
Energy relative to the lowest polymorph listed for this composition: 225 meV per atom
Crystal system: tetragonal
DOS at the Fermi energy: 0.685 states/eV per atom

Entry 7:
Compound: ZrAl2Te
Source: the Alexandria database
Functional: GGA-PBE
Structure: relaxed

Unit cell a=4.7928 b=4.7928 c=3.6243 alpha=90.00 beta=90.00 gamma=90.00
With the nearest neighbours (Å) after each atom.
Fractional coordinates of all 4 atoms:
Te 0.5000 0.0000 0.5000  8 Al 3.00
Al 0.0000 0.0000 0.0000  4 Zr 3.00, 4 Te 3.00
Al 0.5000 0.5000 0.0000  4 Zr 3.00, 4 Te 3.00
Zr 0.0000 0.5000 0.5000  8 Al 3.00

Properties
Mass density: 5.44 g/cm³
Crystal system: tetragonal
Formation energy without anion corrections: -0.121 eV/atom
DOS at the Fermi energy: 0.544 states/eV per atom

Entry 8:
Compound: RhC3
Source: the Alexandria database
Functional: GGA-PBE
Structure: relaxed

Unit cell a=3.2990 b=3.2990 c=3.2990 alpha=90.00 beta=90.00 gamma=90.00
With the nearest neighbours (Å) after each atom.
Fractional coordinates of all 4 atoms:
C 0.0000 0.5000 0.5000  4 Rh 2.33, 8 C 2.33
C 0.5000 0.0000 0.5000  4 Rh 2.33, 8 C 2.33
C 0.5000 0.5000 0.0000  4 Rh 2.33, 8 C 2.33
Rh 0.0000 0.0000 0.0000  12 C 2.33

Properties
Mass density: 6.43 g/cm³
Energy relative to the lowest polymorph listed for this composition: 2526 meV per atom
Crystal system: cubic
DOS at the Fermi energy: 0.743 states/eV per atom

Entry 9:
Compound: CrRe2As
Source: the Alexandria database
Functional: GGA-PBE
Structure: relaxed

Unit cell a=2.7074 b=2.7074 c=8.9211 alpha=90.00 beta=90.00 gamma=113.75
With the nearest neighbours (Å) after each atom.
Fractional coordinates of all 4 atoms:
As 0.5000 0.5000 0.2500  6 As 2.71-2.96, 4 Re 2.85
Cr 0.5000 0.5000 0.7500  4 Re 2.51, 4 Cr 2.71
Re 0.0000 0.0000 0.9771  2 Cr 2.51, 4 Re 2.71
Re 0.0000 0.0000 0.5229  2 Cr 2.51, 4 Re 2.71

Properties
Mass density: 13.85 g/cm³
Final energy: -9.31 eV per atom
Crystal system: orthorhombic
DOS at the Fermi energy: 0.858 states/eV per atom

Entry 10:
Compound: Pu2Ge3PdPt4
Source: the Alexandria database
Functional: GGA-PBE
Structure: relaxed

Unit cell a=4.0462 b=4.0462 c=11.5892 alpha=90.00 beta=90.00 gamma=90.00
With the nearest neighbours (Å) after each atom.
Fractional coordinates of all 10 atoms:
Pu 0.5000 0.0000 0.2595  4 Pt 3.01, 4 Ge 3.22
Pu 0.0000 0.5000 0.7405  4 Pt 3.01, 4 Ge 3.22
Ge 0.0000 0.0000 0.5000  4 Pt 2.74, 4 Pd 2.86
Ge 0.5000 0.0000 0.8687  5 Pt 2.43-2.53
Ge 0.0000 0.5000 0.1313  5 Pt 2.43-2.53
Pd 0.5000 0.5000 0.5000  4 Pt 2.74, 4 Ge 2.86
Pt 0.5000 0.5000 0.0000  4 Ge 2.53
Pt 0.0000 0.0000 0.0000  4 Ge 2.53
Pt 0.5000 0.0000 0.6591  1 Ge 2.43
Pt 0.0000 0.5000 0.3409  1 Ge 2.43

Properties
Mass density: 13.94 g/cm³
Final energy: -7.85 eV per atom
Crystal system: tetragonal
DOS at the Fermi energy: 2.367 states/eV per atom

Entry 11:
Compound: Zr2Co2Pt
Source: the Alexandria database
Functional: GGA-PBE
Structure: relaxed

Unit cell a=4.2009 b=5.0006 c=5.0006 alpha=62.18 beta=65.16 gamma=65.16
With the nearest neighbours (Å) after each atom.
Fractional coordinates of all 5 atoms:
Zr 0.2888 0.2112 0.7112  6 Co 2.61-2.85
Zr 0.7112 0.7888 0.2888  6 Co 2.61-2.85
Co 0.0000 0.2144 0.2856  1 Co 2.21
Co 0.0000 0.7856 0.7144  1 Co 2.21
Pt 0.5000 0.5000 0.0000  4 Co 2.57

Properties
Mass density: 10.16 g/cm³
Energy relative to the lowest polymorph listed for this composition: 30 meV per atom
Crystal system: orthorhombic
DOS at the Fermi energy: 1.243 states/eV per atom

Entry 12:
Compound: CsCr2Pd
Source: the Alexandria database
Functional: GGA-PBE
Structure: relaxed

Unit cell a=5.0721 b=5.0721 c=5.0721 alpha=60.00 beta=60.00 gamma=60.00
With the nearest neighbours (Å) after each atom.
Fractional coordinates of all 4 atoms:
Cs 0.5000 0.5000 0.5000  8 Cr 3.11
Cr 0.2500 0.2500 0.2500  4 Cs 3.11, 4 Pd 3.11
Cr 0.7500 0.7500 0.7500  4 Cs 3.11, 4 Pd 3.11
Pd 0.0000 0.0000 0.0000  8 Cr 3.11

Properties
Mass density: 6.18 g/cm³
Final energy: -5.05 eV per atom
Crystal system: cubic
DOS at the Fermi energy: 1.273 states/eV per atom